Density functional theory data (PBE) for a relaxed structure of GdBiNO.

Values from the calculation:
E	-6.63	eV/atom
ΔE to the lowest computed polymorph	156	meV per atom
space group	Cmme, No. 67

a = 4.524 Å, b = 4.524 Å, c = 7.998 Å
α = 90.00°, β = 90.00°, γ = 90.08°
Sites, in units of the cell vectors:
Bi1 0.750 0.250 0.500
Bi2 0.250 0.750 0.500
Gd1 0.750 0.750 0.092
Gd2 0.250 0.250 0.908
N1 0.750 0.750 0.370
N2 0.250 0.250 0.630
O1 0.750 0.250 0.000
O2 0.250 0.750 0.000